The following is a DFT calculation (PBE-GGA) of YMgAgHg after structural relaxation.

The space group is F-43m (No. 216) and the conventional cell measures 7.0719, 7.0719 and 7.0719 Å, with angles of 90.00, 90.00 and 90.00 degrees. The asymmetric unit holds Y at (0.0000, 0.0000, 0.0000), Mg at (0.0000, 0.0000, 0.5000), Ag at (0.2500, 0.2500, 0.7500) and Hg at (0.2500, 0.2500, 0.2500).

The calculation puts the theoretical density at 7.92 g/cm3. As for the uncorrected energy: -0.2345 Ry per atom.

---

The following is a DFT calculation (PBE-GGA) of LiLuCuTe3 after structural relaxation.

The space group is Cmcm (No. 63) and the conventional cell measures 4.0000, 14.2705 and 10.9172 Å, with angles of 90.00, 90.00 and 90.00 degrees. The asymmetric unit holds Li at (0.0000, 0.2234, 0.2500), Lu at (0.0000, 0.0000, 0.0000), Cu at (0.0000, 0.4765, 0.7500), Te at (0.0000, 0.0958, 0.7500) and Te at (0.0000, 0.3548, 0.5719).

The calculation puts the theoretical density at 6.70 g/cm3. As for the uncorrected energy: -0.2976 Ry per atom.

---

The following is a DFT calculation (PBE-GGA) of AgPbSF after structural relaxation.

The space group is R-3m (No. 166, hexagonal axes) and the conventional cell measures 4.4227, 4.4227 and 29.8858 Å, with angles of 90.00, 90.00 and 120.00 degrees. The asymmetric unit holds Ag at (0.0000, 0.0000, 0.1215), Pb at (0.0000, 0.0000, 0.2842), S at (0.0000, 0.0000, 0.4153) and F at (0.0000, 0.0000, 0.2018).

The polymorph energy (0 for the lowest one) is 1.50 eV per formula unit. The calculation puts the theoretical density at 7.21 g/cm3. As for the uncorrected energy: -0.2773 Ry per atom.

---

The following is a DFT calculation (PBE-GGA) of DyTmTlNi2 after structural relaxation.

The space group is Amm2 (No. 38) and the conventional cell measures 3.6518, 3.8855 and 14.3580 Å, with angles of 90.00, 90.00 and 90.00 degrees. The asymmetric unit holds Dy at (0.0000, 0.0000, 0.0000), Tm at (0.0000, 0.0000, 0.2794), Tl at (0.5000, 0.0000, 0.6406), Ni at (0.5000, 0.0000, 0.4378) and Ni at (0.5000, 0.0000, 0.8382).

The calculation puts the theoretical density at 10.65 g/cm3. As for the uncorrected energy: -0.3676 Ry per atom.

---

Which of these has the highest theoretical density?
DyTmTlNi2